Entry 1:
BaZrCdH2 | PBE | relaxed Values from VASP.

**Energy**: -2.843 eV per atom

The structure in Quantum ESPRESSO input format:
```
&SYSTEM
  ibrav = 0, nat = 5, ntyp = 4
/
ATOMIC_SPECIES
Ba 137.33 Ba.upf
Zr 91.22 Zr.upf
Cd 112.41 Cd.upf
H 1.01 H.upf
ATOMIC_POSITIONS crystal
Ba 0.000 0.000 0.000
Zr 0.000 0.000 0.500
Cd 0.500 0.500 0.500
H 0.000 0.500 0.000
H 0.500 0.000 0.000
CELL_PARAMETERS angstrom
4.559 0.000 0.000
0.000 4.559 0.000
0.000 0.000 7.693
```



Entry 2:
BaHf3Cd | PBE | relaxed Values from VASP.

**Formation energy from the elements**: 1.149 eV/atom

The structure in Quantum ESPRESSO input format:
```
&SYSTEM
  ibrav = 0, nat = 5, ntyp = 3
/
ATOMIC_SPECIES
Ba 137.33 Ba.upf
Hf 178.49 Hf.upf
Cd 112.41 Cd.upf
ATOMIC_POSITIONS crystal
Ba 0.000 0.000 0.000
Hf 0.000 0.500 0.500
Hf 0.500 0.000 0.500
Hf 0.500 0.500 0.000
Cd 0.500 0.500 0.500
CELL_PARAMETERS angstrom
5.389 0.000 0.000
0.000 5.389 0.000
0.000 0.000 5.389
```



Entry 3:
BaHfCd3 | PBE | relaxed Values from VASP.

**Formation energy from the elements**: 1.428 eV/atom

The structure in Quantum ESPRESSO input format:
```
&SYSTEM
  ibrav = 0, nat = 5, ntyp = 3
/
ATOMIC_SPECIES
Ba 137.33 Ba.upf
Hf 178.49 Hf.upf
Cd 112.41 Cd.upf
ATOMIC_POSITIONS crystal
Ba 0.000 0.000 0.000
Hf 0.500 0.500 0.500
Cd 0.000 0.000 0.500
Cd 0.000 0.500 0.000
Cd 0.500 0.000 0.000
CELL_PARAMETERS angstrom
6.012 0.000 0.000
0.000 6.012 0.000
0.000 0.000 6.012
```



Entry 4:
Ba2HfCd | PBE | relaxed Values from VASP.

**Formation energy from the elements**: 0.692 eV/atom

The structure in Quantum ESPRESSO input format:
```
&SYSTEM
  ibrav = 0, nat = 8, ntyp = 3
/
ATOMIC_SPECIES
Ba 137.33 Ba.upf
Hf 178.49 Hf.upf
Cd 112.41 Cd.upf
ATOMIC_POSITIONS crystal
Ba 0.115 0.625 0.990
Ba 0.375 0.365 0.490
Ba 0.635 0.125 0.010
Ba 0.875 0.885 0.510
Hf 0.250 0.750 0.500
Hf 0.500 0.500 0.000
Cd 0.000 0.000 0.000
Cd 0.750 0.250 0.500
CELL_PARAMETERS angstrom
-4.650 4.650 3.366
4.650 -4.650 3.366
4.650 4.650 -3.366
```



Entry 5:
BaHfCd | PBE | relaxed Values from VASP.

**Formation energy from the elements**: 0.336 eV/atom

The structure in Quantum ESPRESSO input format:
```
&SYSTEM
  ibrav = 0, nat = 6, ntyp = 3
/
ATOMIC_SPECIES
Ba 137.33 Ba.upf
Hf 178.49 Hf.upf
Cd 112.41 Cd.upf
ATOMIC_POSITIONS crystal
Ba 0.000 0.000 0.000
Ba 0.671 0.671 0.998
Hf 0.052 0.531 0.499
Hf 0.531 0.052 0.499
Cd 0.330 0.330 0.999
Cd 0.521 0.521 0.497
CELL_PARAMETERS angstrom
5.926 -2.939 0.000
5.926 2.939 0.000
-0.014 0.000 5.491
```



Entry 6:
BaHf2Cd | PBE | relaxed Values from VASP.

**Formation energy from the elements**: 0.737 eV/atom

The structure in Quantum ESPRESSO input format:
```
&SYSTEM
  ibrav = 0, nat = 8, ntyp = 3
/
ATOMIC_SPECIES
Ba 137.33 Ba.upf
Hf 178.49 Hf.upf
Cd 112.41 Cd.upf
ATOMIC_POSITIONS crystal
Ba 0.000 0.000 0.000
Ba 0.750 0.250 0.500
Hf 0.144 0.625 0.019
Hf 0.375 0.394 0.519
Hf 0.606 0.125 0.981
Hf 0.875 0.856 0.481
Cd 0.250 0.750 0.500
Cd 0.500 0.500 0.000
CELL_PARAMETERS angstrom
-2.251 2.251 11.290
2.251 -2.251 11.290
2.251 2.251 -11.290
```



Number 1: DOS(E_F) 3.3 states/eV/cell, magnetization 0.551 μB per atom, calculated volume 159.91 Å³/cell. Number 2: DOS(E_F) 12.7 states/eV/cell, magnetization 0.005 μB per atom, calculated volume 156.49 Å³/cell. Number 3: DOS(E_F) 5.9 states/eV/cell, magnetization 0.454 μB per atom, calculated volume 217.34 Å³/cell. Number 4: DOS(E_F) 13.6 states/eV/cell, magnetization 0.000 μB per atom, calculated volume 291.10 Å³/cell. Number 5: DOS(E_F) 4.9 states/eV/cell, magnetization 0.000 μB per atom, calculated volume 191.27 Å³/cell. Number 6: DOS(E_F) 9.4 states/eV/cell, magnetization 0.000 μB per atom, calculated volume 228.72 Å³/cell.